Sm5Y3Hg2: optimized geometry, GGA-PBE.

extended XYZ file:
```
20
Lattice="-2.984 4.802 3.830 4.328 -0.148 9.647 6.902 7.842 1.634" Properties=species:S:1:pos:R:3 pbc="T T T"
Sm 4.199 1.846 7.046
Sm 2.135 4.491 5.165
Sm 6.110 8.005 9.946
Sm 4.047 10.650 8.065
Sm 4.358 4.583 9.826
Sm 7.603 5.604 8.031
Sm 3.888 7.913 5.285
Sm 3.377 7.449 8.513
Sm 4.869 5.047 6.598
Sm 0.643 6.892 7.080
Y 3.886 5.573 2.129
Y -2.238 3.602 2.872
Y 0.961 3.527 8.503
Y -0.746 1.201 0.957
Y 7.285 8.969 6.607
Y 4.360 6.923 12.982
Hg 9.122 7.687 9.647
Hg 0.907 3.311 2.644
Hg 7.338 9.185 12.467
Hg -0.876 4.809 5.464
```

Output
DFT formation energy = 0.036 eV per atom
spin magnetization = 0.03 Bohr magnetons per cell